# 1
# MnCrTcPdRh GGA-PBE relaxed
data_MnCrTcPdRh
_chemical_formula_sum 'Mn2 Cr2 Tc2 Pd2 Rh2'
_space_group_name_H-M_alt 'A m m 2'
_space_group_IT_number 38
_cell_length_a 2.673
_cell_length_b 4.074
_cell_length_c 12.524
_cell_angle_alpha 90.00
_cell_angle_beta 90.00
_cell_angle_gamma 90.00
loop_
_space_group_symop_operation_xyz
'x,y,z'
'-x,-y,z'
'-x,y,z'
'x,-y,z'
'x,y+1/2,z+1/2'
'-x,-y+1/2,z+1/2'
'-x,y+1/2,z+1/2'
'x,-y+1/2,z+1/2'
loop_
_atom_site_label
_atom_site_fract_x
_atom_site_fract_y
_atom_site_fract_z
_atom_site_occupancy
Mn1 0.000 0.000 0.000 1
Cr1 0.000 0.000 0.403 1
Tc1 0.000 0.000 0.210 1
Pd1 0.500 0.000 0.593 1
Rh1 0.500 0.000 0.815 1
# - energy of formation (eV per atom) = 0.04
# - magnetization (μB per cell) = 2.71

# 2
# MnCrTcPdRh GGA-PBE relaxed
data_MnCrTcPdRh
_chemical_formula_sum 'Mn2 Cr2 Tc2 Pd2 Rh2'
_space_group_name_H-M_alt 'I m m 2'
_space_group_IT_number 44
_cell_length_a 2.739
_cell_length_b 4.205
_cell_length_c 12.138
_cell_angle_alpha 90.00
_cell_angle_beta 90.00
_cell_angle_gamma 90.00
loop_
_space_group_symop_operation_xyz
'x,y,z'
'-x,-y,z'
'-x,y,z'
'x,-y,z'
'x+1/2,y+1/2,z+1/2'
'-x+1/2,-y+1/2,z+1/2'
'-x+1/2,y+1/2,z+1/2'
'x+1/2,-y+1/2,z+1/2'
loop_
_atom_site_label
_atom_site_fract_x
_atom_site_fract_y
_atom_site_fract_z
_atom_site_occupancy
Mn1 0.000 0.000 0.000 1
Cr1 0.000 0.000 0.426 1
Tc1 0.000 0.500 0.323 1
Pd1 0.000 0.500 0.721 1
Rh1 0.000 0.500 0.110 1
# - energy of formation (eV per atom) = 0.12
# - magnetization (μB per cell) = 2.71

# 3
# MnCrTcPdRh GGA-PBE relaxed
data_MnCrTcPdRh
_chemical_formula_sum 'Mn2 Cr2 Tc2 Pd2 Rh2'
_space_group_name_H-M_alt 'C 1 m 1'
_space_group_IT_number 8
_cell_length_a 8.887
_cell_length_b 2.744
_cell_length_c 6.584
_cell_angle_alpha 90.00
_cell_angle_beta 119.55
_cell_angle_gamma 90.00
loop_
_space_group_symop_operation_xyz
'x,y,z'
'x,-y,z'
'x+1/2,y+1/2,z'
'x+1/2,-y+1/2,z'
loop_
_atom_site_label
_atom_site_fract_x
_atom_site_fract_y
_atom_site_fract_z
_atom_site_occupancy
Mn1 0.000 0.000 0.000 1
Cr1 0.288 0.500 0.188 1
Tc1 0.192 0.000 0.802 1
Pd1 0.087 0.500 0.384 1
Rh1 0.398 0.000 0.613 1
# - energy of formation (eV per atom) = 0.03
# - magnetization (μB per cell) = 1.40